Below is a relaxed structure of FeSb2PdW, with properties calculated at the GGA-PBE level.

Results
As for the space group: P4/mmm. For the total magnetization, the calculation gives 0.00 μB per cell. The calculation puts the uncorrected formation energy at 1.691 eV per atom.

a b c (Å): 5.0116 5.0116 4.4209
angles (deg): 90.00 90.00 90.00
Closest atoms and distances in Å follow each position.
Fractional coordinates of all 5 atoms:
Fe 0.0000 0.0000 0.0000  2 Pd 2.21
Sb 0.0000 0.5000 0.5000  2 Pd 2.51
Sb 0.5000 0.0000 0.5000  2 Pd 2.51
Pd 0.0000 0.0000 0.5000  2 Fe 2.21
W 0.5000 0.5000 0.0000  8 Sb 3.34, 4 Fe 3.54

Below is a relaxed structure of YCo2SiC, with properties calculated at the GGA-PBE level.

Results
As for the space group: Cmcm. For the total magnetization, the calculation gives 0.00 μB per cell. The calculation puts the uncorrected formation energy at -0.591 eV per atom.

a b c (Å): 5.5713 5.5713 6.7275
angles (deg): 90.00 90.00 141.01
Closest atoms and distances in Å follow each position.
Fractional coordinates of all 10 atoms:
Y 0.0511 0.9489 0.7500  4 C 2.56
Y 0.9489 0.0511 0.2500  4 C 2.56
Co 0.3363 0.6637 0.5566  1 C 1.76
Co 0.3363 0.6637 0.9434  1 C 1.76
Co 0.6637 0.3363 0.0566  1 C 1.76
Co 0.6637 0.3363 0.4434  1 C 1.76
Si 0.2280 0.7720 0.2500  6 Co 2.36-2.37
Si 0.7720 0.2280 0.7500  6 Co 2.36-2.37
C 0.5000 0.5000 0.0000  2 Co 1.76
C 0.5000 0.5000 0.5000  2 Co 1.76

Below is a relaxed structure of ReNi3Cl, with properties calculated at the GGA-PBE level.

Results
As for the space group: Pm-3m. For the total magnetization, the calculation gives 1.66 μB per cell. The calculation puts the uncorrected formation energy at 1.147 eV per atom.

a b c (Å): 4.0947 4.0947 4.0947
angles (deg): 90.00 90.00 90.00
Closest atoms and distances in Å follow each position.
Fractional coordinates of all 5 atoms:
Re 0.0000 0.0000 0.0000  12 Ni 2.90
Ni 0.0000 0.5000 0.5000  2 Cl 2.05
Ni 0.5000 0.0000 0.5000  2 Cl 2.05
Ni 0.5000 0.5000 0.0000  2 Cl 2.05
Cl 0.5000 0.5000 0.5000  6 Ni 2.05

Below is a relaxed structure of SmSc4Rh5, with properties calculated at the GGA-PBE level.

Results
As for the space group: P4/mmm. For the total magnetization, the calculation gives 0.00 μB per cell.

a b c (Å): 3.2278 3.2278 16.9692
angles (deg): 90.00 90.00 90.00
Closest atoms and distances in Å follow each position.
Fractional coordinates of all 10 atoms:
Sm 0.0000 0.0000 0.0000  8 Rh 3.03, 4 Sm 3.23
Sc 0.0000 0.0000 0.2099  8 Rh 2.77-2.83
Sc 0.0000 0.0000 0.4034  8 Rh 2.80-2.81
Sc 0.0000 0.0000 0.5966  8 Rh 2.80-2.81
Sc 0.0000 0.0000 0.7901  8 Rh 2.77-2.83
Rh 0.5000 0.5000 0.1177  4 Sc 2.77, 4 Sm 3.03
Rh 0.5000 0.5000 0.3080  8 Sc 2.80-2.83
Rh 0.5000 0.5000 0.5000  8 Sc 2.81
Rh 0.5000 0.5000 0.6920  8 Sc 2.80-2.83
Rh 0.5000 0.5000 0.8823  4 Sc 2.77, 4 Sm 3.03

Below is a relaxed structure of DyTh2C, with properties calculated at the GGA-PBE level.

Results
As for the space group: R-3m. For the total magnetization, the calculation gives 0.00 μB per cell.

a b c (Å): 10.0782 10.0782 10.0782
angles (deg): 20.42 20.42 20.42
Closest atoms and distances in Å follow each position.
Fractional coordinates of all 4 atoms:
Dy 0.0000 0.0000 0.0000  2 Th 3.45, 6 Dy 3.57
Th 0.1165 0.1165 0.1165  3 C 2.54
Th 0.8835 0.8835 0.8835  3 C 2.54
C 0.5000 0.5000 0.5000  6 Th 2.54

Below is a relaxed structure of PmDy3Tm7, with properties calculated at the GGA-PBE level.

Results
As for the space group: P2/m. For the total magnetization, the calculation gives 0.00 μB per cell.

a b c (Å): 6.8696 5.4649 9.8343
angles (deg): 90.00 109.35 90.00
Closest atoms and distances in Å follow each position.
Fractional coordinates of all 11 atoms:
Pm 0.0000 0.0000 0.0000  2 Dy 3.43, 10 Tm 3.50-3.77
Dy 0.2770 0.5000 0.4946  1 Dy 3.03, 4 Tm 3.29-3.34
Dy 0.5000 0.0000 0.0000  2 Pm 3.43, 10 Tm 3.46-3.77
Dy 0.7230 0.5000 0.5054  1 Dy 3.03, 4 Tm 3.29-3.34
Tm 0.0000 0.0000 0.5000  4 Dy 3.34, 2 Tm 3.73
Tm 0.1511 0.5000 0.7900  3 Tm 3.27-3.53, 2 Dy 3.29-3.32
Tm 0.3215 0.5000 0.1418  5 Tm 3.25-3.53, 3 Dy 3.47-3.58, 2 Pm 3.50
Tm 0.4276 0.0000 0.3316  3 Tm 3.13-3.25, 5 Dy 3.46-3.49
Tm 0.5724 0.0000 0.6684  3 Tm 3.13-3.25, 5 Dy 3.46-3.49
Tm 0.6785 0.5000 0.8582  5 Tm 3.25-3.53, 3 Dy 3.47-3.58, 2 Pm 3.50
Tm 0.8489 0.5000 0.2100  3 Tm 3.27-3.53, 2 Dy 3.29-3.32

Below is a relaxed structure of BiW, with properties calculated at the GGA-PBE level.

Results
As for the space group: Amm2. For the total magnetization, the calculation gives 0.00 μB per cell.

a b c (Å): 3.3478 7.1394 7.1394
angles (deg): 119.78 90.00 90.00
Closest atoms and distances in Å follow each position.
Fractional coordinates of all 6 atoms:
Bi 0.0000 0.0000 0.0000  4 W 2.91-2.93
Bi 0.5000 0.2050 0.5342  5 W 2.90-2.98
Bi 0.5000 0.5342 0.2050  5 W 2.90-2.98
W 0.0000 0.5465 0.8799  2 W 2.68, 5 Bi 2.90-2.98
W 0.0000 0.8799 0.5465  2 W 2.68, 5 Bi 2.90-2.98
W 0.5000 0.6635 0.6635  4 W 2.68, 4 Bi 2.93

Below is a relaxed structure of Al3GaNi, with properties calculated at the GGA-PBE level.

Results
As for the space group: Pm-3m. For the total magnetization, the calculation gives 0.00 μB per cell.

a b c (Å): 4.5202 4.5202 4.5202
angles (deg): 90.00 90.00 90.00
Closest atoms and distances in Å follow each position.
Fractional coordinates of all 5 atoms:
Al 0.0000 0.0000 0.5000  2 Ni 2.26
Al 0.0000 0.5000 0.0000  2 Ni 2.26
Al 0.5000 0.0000 0.0000  2 Ni 2.26
Ga 0.5000 0.5000 0.5000  12 Al 3.20
Ni 0.0000 0.0000 0.0000  6 Al 2.26

Final energy for the records above, in order: -26.4, -38.3, -25.9, -76.2, -28.7, -48.1, -15.1, -20.2 eV per formula unit